(1)
The following is a PBE calculation of a relaxed structure of Cu5Ni2Pd, from the Alexandria database.

```
16
Lattice="-0.6030 -3.2010 5.4051 0.8269 -5.4231 -3.1194 4.8999 4.6421 -0.3882" Properties=species:S:1:pos:R:3 pbc="T T T"
Cu 0.1119 -4.3121 1.1428
Cu 3.1443 -2.6470 3.5533
Cu 1.9794 -1.3350 -1.6559
Cu 1.5082 -1.8227 1.6867
Cu 3.6155 -2.1592 0.2107
Cu 2.0454 -3.8775 -0.9820
Cu 1.0867 -1.1676 4.1999
Cu 0.0000 0.0000 0.0000
Cu 3.0783 -0.1045 2.8795
Cu 4.0370 -2.8144 -2.3024
Ni 0.2111 -2.3972 -0.3537
Ni 0.0127 -6.2269 2.6394
Ni -0.2699 -2.8206 3.0259
Ni 0.4937 -5.8035 -0.7402
Pd 2.5059 0.1650 0.3773
Pd 2.6178 -4.1470 1.5202
```

Properties
Calculated formation energy   0.15 eV/atom
Polymorph energy (0 for the lowest one)   151.3 meV/atom
Electronic total energy   -4.501 eV per atom

***

(2)
The following is a PBE calculation of a relaxed structure of Cu5NiPd, from the Alexandria database.

```
7
Lattice="4.3862 -0.0059 -0.0002 -1.4328 4.1455 -0.0002 -0.0001 -0.0002 5.1984" Properties=species:S:1:pos:R:3 pbc="T T T"
Cu 3.6695 2.0668 1.3249
Cu 0.0000 -0.0001 2.5992
Cu -0.7163 2.0727 3.8732
Cu 2.1930 -0.0028 3.8731
Cu 0.7602 4.1424 1.3249
Pd 0.0000 0.0000 0.0000
Ni 1.4766 2.0698 2.5990
```

Properties
Calculated formation energy   0.14 eV/atom
Electronic total energy   -4.351 eV per atom

***

(3)
The following is a PBE calculation of a relaxed structure of Cu2Ni5Pd12, from the Alexandria database.

```
19
Lattice="8.4385 0.0000 0.0000 -4.2192 4.7576 1.4822 0.0000 -0.3587 6.6489" Properties=species:S:1:pos:R:3 pbc="T T T"
Pd 2.6090 2.7397 6.2886
Pd 6.8282 1.6592 1.8425
Pd 2.0837 3.6235 3.7664
Pd 2.1355 0.7754 4.3646
Pd 0.0000 3.7744 5.9663
Pd 4.2192 3.3673 1.9242
Pd 1.6103 1.6592 1.8425
Pd -2.6090 2.7397 6.2886
Pd 4.2192 0.6246 2.1648
Pd 0.0000 1.0316 6.2069
Pd -2.0837 3.6235 3.7664
Pd 6.3029 0.7754 4.3646
Cu 6.2791 0.0000 0.0000
Cu 2.1594 0.0000 0.0000
Ni 0.0000 3.5505 1.8119
Ni 4.2192 2.2014 4.2396
Ni 0.0000 -0.1793 3.3244
Ni 0.0000 2.1975 3.8915
Ni 4.2192 0.8485 6.3192
```

Properties
Calculated formation energy   0.11 eV/atom
Electronic total energy   -5.121 eV per atom

***

(4)
The following is a PBE calculation of a relaxed structure of Cu4NiPd, from the Alexandria database.

```
12
Lattice="-3.7876 -2.2148 -0.6510 0.8547 -3.1338 5.6887 -2.0005 6.1033 -0.1089" Properties=species:S:1:pos:R:3 pbc="T T T"
Pd -3.7970 -0.8742 3.8606
Pd -1.1364 1.6290 1.0681
Cu 0.6921 -2.5377 4.6065
Cu -1.2450 -0.6868 3.5804
Cu 0.1626 -0.5961 1.0822
Cu -2.3858 -0.7425 1.3762
Cu -3.0790 3.4457 0.0158
Cu -1.8544 -2.6909 4.9129
Cu -2.5476 1.4973 3.5526
Cu -3.6884 1.4416 1.3483
Ni -2.3035 3.5638 2.3093
Ni -2.6299 -2.8090 2.6194
```

Properties
Calculated formation energy   0.10 eV/atom
Polymorph energy (0 for the lowest one)   121.5 meV/atom
Electronic total energy   -4.462 eV per atom

***

(5)
The following is a PBE calculation of a relaxed structure of Cu6NiPd8, from the Alexandria database.

```
15
Lattice="2.7780 0.0000 0.0000 0.0000 9.5073 0.0000 0.0000 -4.7536 8.2336" Properties=species:S:1:pos:R:3 pbc="T T T"
Cu 0.7056 2.6939 3.1966
Cu 0.7056 5.3920 0.7347
Cu 0.7056 6.1750 4.3022
Cu 2.0724 -1.4213 3.9313
Cu 2.0724 2.0597 5.0370
Cu 2.0724 -0.6384 7.4988
Pd 0.6841 0.0000 5.4890
Pd 0.6643 7.7174 1.7617
Pd 0.6643 2.4206 0.6692
Pd 2.1137 0.6307 2.4309
Pd 0.6643 4.1229 5.8026
Pd 2.0939 4.7537 2.7445
Pd 2.1137 -2.9638 6.4718
Pd 2.1137 2.3330 7.5643
Ni 1.3890 0.0000 0.0000
```

Properties
Calculated formation energy   0.10 eV/atom
Polymorph energy (0 for the lowest one)   0.0 meV/atom
Electronic total energy   -4.692 eV per atom

***

(6)
The following is a PBE calculation of a relaxed structure of Cu8NiPd6, from the Alexandria database.

```
15
Lattice="-1.2582 -5.4022 4.2133 3.1392 -0.3813 6.2064 -3.2867 0.6512 5.6112" Properties=species:S:1:pos:R:3 pbc="T T T"
Cu -0.8465 -0.3895 6.6248
Cu 1.3190 -0.9781 8.3029
Cu -0.9894 -3.8921 11.9877
Cu -2.7247 -4.1543 7.7280
Cu 0.0458 -2.2211 10.4676
Cu -0.4163 -1.2403 4.0432
Cu -1.4515 -2.9113 5.5633
Cu -0.5592 -4.7429 9.4061
Pd -2.9760 -1.4700 7.0557
Pd -0.5101 -4.8763 6.6312
Pd -0.8956 -0.2561 9.3998
Pd -2.5158 -3.1529 9.9283
Pd 1.1100 -1.9795 6.1026
Pd 1.5703 -3.6624 8.9752
Ni 0.0000 0.0000 0.0000
```

Properties
Calculated formation energy   0.10 eV/atom
Polymorph energy (0 for the lowest one)   44.5 meV/atom
Electronic total energy   -4.543 eV per atom

***

(7)
The following is a PBE calculation of a relaxed structure of Cu2NiPd, from the Alexandria database.

```
8
Lattice="2.6361 -0.0002 0.0002 0.0003 4.4645 -1.0256 -0.0006 0.3846 8.5247" Properties=species:S:1:pos:R:3 pbc="T T T"
Pd 0.7315 3.9751 3.8385
Pd 2.0494 1.7427 4.3513
Cu 0.7308 2.9798 6.3281
Cu 2.0487 0.7474 6.8410
Cu 2.0506 2.7395 1.8615
Cu 0.7324 0.5072 2.3742
Ni 2.0512 3.7839 -0.4242
Ni 0.7329 1.5518 0.0886
```

Properties
Calculated formation energy   0.00 eV/atom
Electronic total energy   -4.792 eV per atom

***

(8)
The following is a PBE calculation of a relaxed structure of Cu2NiPd5, from the Alexandria database.

```
16
Lattice="6.4783 0.0002 -0.0001 0.0002 6.4783 -0.0001 -3.2393 -3.2393 5.5070" Properties=species:S:1:pos:R:3 pbc="T T T"
Pd 3.2392 3.2392 -0.0001
Pd -1.0156 2.2235 1.7332
Pd 4.2547 1.0156 3.7735
Pd 1.0154 2.2234 3.7735
Pd -1.0156 4.2544 3.7735
Pd 2.2237 1.0157 1.7333
Pd 4.2547 -1.0153 1.7333
Pd 0.0000 0.0000 0.0000
Pd 2.2236 -1.0155 3.7734
Pd 1.0155 4.2546 1.7334
Cu 5.5931 4.1245 -0.0002
Cu 2.3541 5.5931 0.0005
Cu 0.8853 2.3539 -0.0001
Cu 0.8850 -2.3540 5.5063
Ni 3.2392 3.2392 2.7533
Ni -0.0001 -0.0001 2.7534
```

Properties
Calculated formation energy   0.07 eV/atom
Polymorph energy (0 for the lowest one)   102.1 meV/atom
Electronic total energy   -4.922 eV per atom